{"formula": "YOs2", "functional": "PBE", "state": "optimized geometry", "final_energy_ev_per_atom": -9.310, "formation_energy_kj_per_mol_fu": 95.9, "magnetic_moment_mub_per_cell": 0.00, "cell": [[1.4422, -9.5711, 0.0000], [1.4422, 9.5711, 0.0000], [0.0000, 0.0000, 4.3170]], "species": ["Os", "Os", "Os", "Os", "Y", "Y"], "frac_coords": [[0.9591, 0.0409, 0.7500], [0.0409, 0.9591, 0.2500], [0.5774, 0.4226, 0.7500], [0.4226, 0.5774, 0.2500], [0.3192, 0.6808, 0.7500], [0.6808, 0.3192, 0.2500]]}